Record 1
# Tl3VO

Tl3VO after structural relaxation (PBE+U, Alexandria).

Output
- DOS at the Fermi energy (states/eV/cell) = 5.24
- total DFT energy (no corrections) (eV per atom) = -3.065
- symmetry = No. 221
- ΔE to the lowest computed polymorph (eV per atom) = 0.433

Cell and atoms, written as CIF:
```
data_Tl3VO
_chemical_formula_sum 'Tl3 V1 O1'
_cell_length_a 5.4555
_cell_length_b 5.4555
_cell_length_c 5.4555
_cell_angle_alpha 90.00
_cell_angle_beta 90.00
_cell_angle_gamma 90.00
_symmetry_space_group_name_H-M 'P 1'
_symmetry_Int_Tables_number 1
_symmetry_space_group_name_Hall 'P 1'
loop_
_atom_site_label
_atom_site_fract_x
_atom_site_fract_y
_atom_site_fract_z
Tl1 0.0000 0.5000 0.0000
O1 0.5000 0.5000 0.5000
V1 0.0000 0.0000 0.0000
Tl2 0.0000 0.0000 0.5000
Tl3 0.5000 0.0000 0.0000
```


Record 2
# TlV3O9

TlV3O9 after structural relaxation (PBE+U, Alexandria).

Output
- DOS at the Fermi energy (states/eV/cell) = 0.00
- total DFT energy (no corrections) (eV per atom) = -6.934
- symmetry = No. 9

Cell and atoms, written as CIF:
```
data_TlV3O9
_chemical_formula_sum 'Tl2 V6 O18'
_cell_length_a 7.4442
_cell_length_b 8.3403
_cell_length_c 9.4872
_cell_angle_alpha 73.42
_cell_angle_beta 66.90
_cell_angle_gamma 63.49
_symmetry_space_group_name_H-M 'P 1'
_symmetry_Int_Tables_number 1
_symmetry_space_group_name_Hall 'P 1'
loop_
_atom_site_label
_atom_site_fract_x
_atom_site_fract_y
_atom_site_fract_z
O1 0.6506 0.7779 0.6626
O2 0.8255 0.9718 0.3231
O3 0.2542 0.9395 0.1829
O4 0.5087 0.2101 0.5934
O5 0.9976 0.0021 0.9951
O6 0.1242 0.5309 0.1677
O7 0.1772 0.0309 0.6677
O8 0.6877 0.7101 0.0934
O9 0.3900 0.5573 0.3021
O10 0.9089 0.2779 0.1626
V1 0.4616 0.7504 0.2437
O11 0.3210 0.2937 0.8964
Tl1 0.0033 0.5005 0.9949
V2 0.9904 0.0515 0.1695
V3 0.0124 0.9493 0.8195
O12 0.8796 0.4718 0.8231
O13 0.7505 0.0573 0.8021
V4 0.2188 0.4493 0.3195
V5 0.7886 0.5515 0.6695
V6 0.5443 0.2504 0.7437
O14 0.0052 0.5021 0.4951
O15 0.6234 0.4395 0.6829
O16 0.0988 0.7224 0.8267
O17 0.3520 0.2224 0.3267
Tl2 0.5013 0.0005 0.4949
O18 0.4888 0.7937 0.3964
```


Record 3
# TlV5O8

TlV5O8 after structural relaxation (PBE+U, Alexandria).

Output
- total DFT energy (no corrections) (eV per atom) = -7.520
- symmetry = No. 12

Cell and atoms, written as CIF:
```
data_TlV5O8
_chemical_formula_sum 'Tl1 V5 O8'
_cell_length_a 3.0948
_cell_length_b 7.6168
_cell_length_c 7.8416
_cell_angle_alpha 105.92
_cell_angle_beta 101.38
_cell_angle_gamma 90.00
_symmetry_space_group_name_H-M 'P 1'
_symmetry_Int_Tables_number 1
_symmetry_space_group_name_Hall 'P 1'
loop_
_atom_site_label
_atom_site_fract_x
_atom_site_fract_y
_atom_site_fract_z
O1 0.4180 0.8697 0.8359
O2 0.9179 0.1704 0.8357
O3 0.8238 0.5214 0.6476
O4 0.0821 0.8297 0.1643
V1 0.7034 0.3340 0.4067
O5 0.1763 0.4786 0.3526
Tl1 0.4999 0.4999 0.9997
V2 0.2967 0.6660 0.5933
O6 0.7673 0.8538 0.5345
O7 0.5820 0.1303 0.1641
V3 0.6576 0.9474 0.3152
V4 0.3424 0.0525 0.6848
V5 0.0000 0.0000 0.0000
O8 0.2328 0.1463 0.4655
```


Record 4
# Tl3V5O12

Tl3V5O12 after structural relaxation (PBE+U, Alexandria).

Output
- DOS at the Fermi energy (states/eV/cell) = 35.30
- total DFT energy (no corrections) (eV per atom) = -6.821
- symmetry = No. 230

Cell and atoms, written as CIF:
```
data_Tl3V5O12
_chemical_formula_sum 'Tl12 V20 O48'
_cell_length_a 11.4631
_cell_length_b 11.4631
_cell_length_c 11.4631
_cell_angle_alpha 109.47
_cell_angle_beta 109.47
_cell_angle_gamma 109.47
_symmetry_space_group_name_H-M 'P 1'
_symmetry_Int_Tables_number 1
_symmetry_space_group_name_Hall 'P 1'
loop_
_atom_site_label
_atom_site_fract_x
_atom_site_fract_y
_atom_site_fract_z
V1 0.2500 0.3750 0.6250
O1 0.1019 0.4238 0.1168
V2 0.5000 0.0000 0.0000
V3 0.5000 0.0000 0.5000
V4 0.5000 0.5000 0.0000
V5 0.6250 0.7500 0.8750
O2 0.3832 0.3981 0.5762
V6 0.0000 0.5000 0.5000
O3 0.3070 0.8219 0.4238
V7 0.3750 0.2500 0.1250
O4 0.0149 0.6168 0.1930
O5 0.8832 0.8070 0.4851
V8 0.5000 0.5000 0.5000
Tl1 0.2500 0.6250 0.8750
V9 0.2500 0.8750 0.1250
O6 0.6168 0.0149 0.6930
O7 0.8981 0.3219 0.5149
O8 0.8981 0.5762 0.8832
O9 0.4238 0.3219 0.3070
O10 0.6781 0.5762 0.1930
O11 0.8832 0.0762 0.8981
O12 0.5149 0.8219 0.8981
O13 0.8070 0.8832 0.9851
O14 0.1930 0.1168 0.0149
O15 0.8219 0.5149 0.3981
Tl2 0.2500 0.1250 0.3750
V10 0.1250 0.3750 0.2500
O16 0.6168 0.6019 0.4238
V11 0.7500 0.1250 0.8750
O17 0.6019 0.9851 0.1781
O18 0.6930 0.1781 0.5762
O19 0.0149 0.3981 0.3219
O20 0.3219 0.8981 0.0149
Tl3 0.1250 0.8750 0.7500
V12 0.8750 0.2500 0.6250
O21 0.3981 0.0149 0.8219
O22 0.5149 0.6930 0.1168
O23 0.3070 0.4851 0.3832
O24 0.8219 0.3070 0.9238
O25 0.6930 0.5149 0.6168
O26 0.1781 0.4851 0.6019
O27 0.9851 0.3832 0.8070
V13 0.0000 0.0000 0.0000
O28 0.3219 0.4238 0.8070
O29 0.9238 0.8070 0.8219
V14 0.6250 0.8750 0.2500
O30 0.3832 0.9851 0.3070
V15 0.7500 0.6250 0.3750
O31 0.1019 0.6781 0.4851
O32 0.6781 0.1019 0.9851
Tl4 0.1250 0.2500 0.8750
O33 0.3981 0.3832 0.0762
V16 0.3750 0.1250 0.7500
V17 0.0000 0.0000 0.5000
O34 0.0762 0.1930 0.1781
O35 0.4851 0.3070 0.8832
V18 0.0000 0.5000 0.0000
O36 0.8070 0.9238 0.3219
O37 0.1168 0.9238 0.1019
Tl5 0.3750 0.6250 0.2500
V19 0.8750 0.6250 0.7500
V20 0.1250 0.7500 0.3750
O38 0.0762 0.8832 0.3981
O39 0.1781 0.6930 0.0762
O40 0.4851 0.1781 0.1019
Tl6 0.7500 0.3750 0.1250
O41 0.6019 0.6168 0.9238
Tl7 0.6250 0.3750 0.7500
O42 0.1930 0.0762 0.6781
Tl8 0.3750 0.7500 0.6250
O43 0.9851 0.6019 0.6781
O44 0.4238 0.1019 0.6168
Tl9 0.7500 0.8750 0.6250
O45 0.1168 0.1930 0.5149
Tl10 0.8750 0.7500 0.1250
Tl11 0.6250 0.2500 0.3750
O46 0.9238 0.1168 0.6019
Tl12 0.8750 0.1250 0.2500
O47 0.5762 0.6781 0.6930
O48 0.5762 0.8981 0.3832
```


total DFT energy (no corrections) of number 4 (Tl3V5O12)? -6.821 eV per atom


What is the total DFT energy (no corrections) in the first record? -3.065 eV per atom


Look up the total DFT energy (no corrections) of the third one. -7.520 eV per atom